No. 1
Sm6Ru2RhI3 PBE-GGA relaxed; DOS at the Fermi energy = 6.35 states/eV/f.u.; calculated volume = 356.0 Å³/f.u.; energy relative to the elements, uncorrected = -0.74 eV per atom
1.0
7.131 -0.001 0.000
-3.565 6.176 0.000
-1.189 -2.059 8.084
Sm Ru Rh I
6 2 1 3
Cartesian
3.584 2.025 6.589
2.359 4.084 1.491
-1.207 2.091 1.495
-0.037 4.116 6.589
0.018 0.032 6.593
2.414 0.000 1.495
0.000 4.117 0.000
3.566 2.058 0.000
0.000 0.000 0.000
-2.372 4.114 4.042
4.748 0.002 4.042
1.188 2.058 4.042

---

No. 2
SnRuRhI2 PBE-GGA relaxed; DOS at the Fermi energy = 2.91 states/eV/f.u.; calculated volume = 136.3 Å³/f.u.; energy relative to the elements, uncorrected = 0.70 eV per atom
1.0
5.348 0.000 0.000
0.000 4.767 0.000
0.000 0.000 5.348
I Ru Rh Sn
2 1 1 1
Cartesian
0.000 0.000 2.674
2.674 0.000 0.000
0.000 0.000 0.000
0.000 2.383 0.000
2.674 2.383 2.674

---

No. 3
SnRu2RhI PBE-GGA relaxed; DOS at the Fermi energy = 6.20 states/eV/f.u.; calculated volume = 115.5 Å³/f.u.; energy relative to the elements, uncorrected = 1.37 eV per atom
1.0
-0.411 2.583 -4.126
-4.284 1.693 1.487
2.237 3.778 2.142
I Ru Rh Sn
1 2 1 1
Cartesian
0.000 0.000 0.000
1.118 1.889 1.071
-0.206 1.292 -2.063
-2.142 0.846 0.743
-1.229 4.027 -0.249

---

No. 4
Te2RuRhI PBE-GGA relaxed; DOS at the Fermi energy = 7.21 states/eV/f.u.; energy above the lowest structure with this stoichiometry = 69 meV per atom; calculated volume = 144.3 Å³/f.u.; energy relative to the elements, uncorrected = 1.02 eV per atom
1.0
-2.096 1.292 -4.554
-0.825 -5.004 -1.040
-4.846 0.317 2.320
I Ru Te Rh
1 1 2 1
Cartesian
-2.423 0.159 1.160
-3.884 -1.697 -1.637
-0.413 -2.502 -0.520
-1.048 0.646 -2.277
0.000 0.000 0.000

---

No. 5
Te2RuRhI PBE-GGA relaxed; DOS at the Fermi energy = 7.50 states/eV/f.u.; energy above the lowest structure with this stoichiometry = 0 meV per atom; calculated volume = 134.1 Å³/f.u.; energy relative to the elements, uncorrected = 0.95 eV per atom
1.0
5.272 0.000 0.000
0.000 4.825 0.000
0.000 0.000 5.272
I Ru Te Rh
1 1 2 1
Cartesian
2.636 2.412 2.636
0.000 2.412 0.000
0.000 0.000 2.636
2.636 0.000 0.000
0.000 0.000 0.000

---

No. 6
TeRuRhI2 PBE-GGA relaxed; DOS at the Fermi energy = 6.26 states/eV/f.u.; energy above the lowest structure with this stoichiometry = 32 meV per atom; calculated volume = 151.8 Å³/f.u.; energy relative to the elements, uncorrected = 1.02 eV per atom
1.0
5.450 0.000 0.000
0.000 5.112 0.000
0.000 0.000 5.450
I Ru Te Rh
2 1 1 1
Cartesian
0.000 0.000 2.725
2.725 0.000 0.000
2.725 2.556 2.725
0.000 2.556 0.000
0.000 0.000 0.000